1.
Compound: LiHgOs2W
Source: Alexandria via LeMat-Bulk
Functional: PBE-GGA
Structure: relaxed

Output
The energy of formation from the pure elements is 3048 meV/atom. Its magnetization is 0.00 μB/cell. The density comes out at 10.58 g cm⁻³. As for the density of states at the Fermi level: 1.78 states/eV/atom. As for the total energy: -0.3291 Ry per atom.

a = 4.963 Å, b = 4.963 Å, c = 4.918 Å
α = 90.00°, β = 90.00°, γ = 90.00°
Atoms (fractional coordinates):
Li  0.000  0.000  0.000
Hg  0.500  0.500  0.500
Os  0.000  0.500  0.500
Os  0.500  0.000  0.500
W  0.500  0.500  0.000

2.
Compound: YU6
Source: Alexandria via LeMat-Bulk
Functional: PBE-GGA
Structure: relaxed

Output
The energy of formation from the pure elements is 786 meV/atom. Its magnetization is 0.94 μB/cell. The density comes out at 13.97 g cm⁻³. As for the density of states at the Fermi level: 3.64 states/eV/atom. As for the total energy: -0.7212 Ry per atom.

a = 6.164 Å, b = 6.164 Å, c = 6.164 Å
α = 109.47°, β = 109.47°, γ = 109.47°
Atoms (fractional coordinates):
Y  0.000  0.000  0.000
U  0.250  0.500  0.750
U  0.250  0.750  0.500
U  0.500  0.250  0.750
U  0.500  0.750  0.250
U  0.750  0.250  0.500
U  0.750  0.500  0.250

3.
Compound: La6Pm2ErMg
Source: Alexandria via LeMat-Bulk
Functional: PBE-GGA
Structure: relaxed

Output
The energy of formation from the pure elements is 90 meV/atom. Its magnetization is 0.00 μB/cell. The density comes out at 6.29 g cm⁻³. As for the density of states at the Fermi level: 1.54 states/eV/atom. As for the total energy: -0.3258 Ry per atom.

a = 8.752 Å, b = 8.752 Å, c = 9.477 Å
α = 94.95°, β = 94.95°, γ = 104.95°
Atoms (fractional coordinates):
La  0.042  0.468  0.675
La  0.065  0.821  0.900
La  0.179  0.935  0.600
La  0.247  0.580  0.083
La  0.420  0.753  0.417
La  0.468  0.042  0.175
La  0.532  0.958  0.825
La  0.580  0.247  0.583
La  0.753  0.420  0.917
La  0.821  0.065  0.400
La  0.935  0.179  0.100
La  0.958  0.532  0.325
Pm  0.236  0.301  0.409
Pm  0.301  0.236  0.909
Pm  0.699  0.764  0.091
Pm  0.764  0.699  0.591
Er  0.432  0.568  0.750
Er  0.568  0.432  0.250
Mg  0.095  0.905  0.250
Mg  0.905  0.095  0.750

4.
Compound: PmZn2Ir
Source: Alexandria via LeMat-Bulk
Functional: PBE-GGA
Structure: relaxed

Output
The value obtained for the excess energy over the best structure of this formula in the dataset is 0.307 kcal/mol of atoms. The energy of formation from the pure elements is -484 meV/atom. Its magnetization is 0.00 μB/cell. The density comes out at 10.05 g cm⁻³. As for the density of states at the Fermi level: 0.55 states/eV/atom. As for the total energy: -0.3325 Ry per atom.

a = 15.520 Å, b = 7.285 Å, c = 5.469 Å
α = 90.00°, β = 90.00°, γ = 90.00°
Atoms (fractional coordinates):
Pm  0.100  0.250  0.225
Pm  0.142  0.750  0.459
Pm  0.358  0.250  0.959
Pm  0.400  0.750  0.725
Pm  0.600  0.250  0.275
Pm  0.642  0.750  0.041
Pm  0.858  0.250  0.541
Pm  0.900  0.750  0.775
Zn  0.040  0.060  0.741
Zn  0.040  0.440  0.741
Zn  0.210  0.552  0.938
Zn  0.210  0.948  0.938
Zn  0.290  0.052  0.438
Zn  0.290  0.448  0.438
Zn  0.460  0.560  0.241
Zn  0.460  0.940  0.241
Zn  0.540  0.060  0.759
Zn  0.540  0.440  0.759
Zn  0.710  0.552  0.562
Zn  0.710  0.948  0.562
Zn  0.790  0.052  0.062
Zn  0.790  0.448  0.062
Zn  0.960  0.560  0.259
Zn  0.960  0.940  0.259
Ir  0.071  0.750  0.988
Ir  0.187  0.250  0.697
Ir  0.313  0.750  0.197
Ir  0.429  0.250  0.488
Ir  0.571  0.750  0.512
Ir  0.687  0.250  0.803
Ir  0.813  0.750  0.303
Ir  0.929  0.250  0.012